Density functional theory data (PBEsol) for crystalline MgAlIn2 at its relaxed geometry.

Cell: 3.208 4.409 6.230 Å, 90.00 90.00 90.00°
Fractional positions:
Mg  0.000  0.000  0.506
In  0.000  0.000  0.985
In  0.500  0.500  0.263
Al  0.500  0.500  0.746

Properties
M_tot	0.00	μB per cell
crystal system	orthorhombic
ΔE_f	0.028	eV/atom